1.
MgSb2S | PBE-GGA | optimized geometry

Lattice parameters (Å, degrees): 4.0970 4.0970 24.0702 90.00 90.00 90.00
With the nearest neighbours (Å) after each atom.
Space group I-42d (No. 122)
Unique sites:
Mg (0.0000, 0.0000, 0.0000)  4 S 2.90
Sb (0.2446, 0.2500, 0.1250)  4 Sb 2.87-2.93
S (0.0000, 0.0000, 0.5000)  4 Mg 2.90

## Properties
- energy (eV per atom) = -3.60
- distance to the lowest polymorph of the same formula (eV/f.u.) = 0.000
- uncorrected formation energy (kJ/mol of formula units) = -44
- density of states at the Fermi level (states/eV per cell) = 9.35

=====

2.
ScTcOs2 | PBE-GGA | optimized geometry

Lattice parameters (Å, degrees): 3.0836 3.0836 6.5554 90.00 90.00 90.00
With the nearest neighbours (Å) after each atom.
Space group P4mm (No. 99)
Unique sites:
Sc (0.0000, 0.0000, 0.0000)  4 Os 2.74, 4 Tc 2.78
Tc (0.5000, 0.5000, 0.2626)  4 Os 2.66, 4 Sc 2.78
Os (0.0000, 0.0000, 0.4953)  4 Tc 2.66, 4 Os 2.73
Os (0.5000, 0.5000, 0.7464)  4 Os 2.73, 4 Sc 2.74

## Properties
- energy (eV per atom) = -9.68
- distance to the lowest polymorph of the same formula (eV/f.u.) = 0.721
- energy of formation (eV/atom) = 0.1130
- density of states at the Fermi level (states/eV per cell) = 3.13

=====

3.
LuCdInNi | PBE-GGA | optimized geometry

Lattice parameters (Å, degrees): 6.7886 6.7886 6.7886 90.00 90.00 90.00
With the nearest neighbours (Å) after each atom.
Space group F-43m (No. 216)
Unique sites:
Lu (0.0000, 0.0000, 0.0000)  4 Cd 2.94, 4 Ni 2.94
Cd (0.2500, 0.2500, 0.7500)  4 In 2.94, 4 Lu 2.94
In (0.0000, 0.0000, 0.5000)  4 Cd 2.94, 4 Ni 2.94
Ni (0.2500, 0.2500, 0.2500)  4 In 2.94, 4 Lu 2.94

## Properties
- energy (eV per atom) = -3.71
- energy of formation (eV/atom) = -0.2243
- density of states at the Fermi level (states/eV per cell) = 9.77

=====

4.
V2Ge3 | PBE-GGA | optimized geometry

Lattice parameters (Å, degrees): 8.9432 2.8298 7.0842 90.00 123.27 90.00
With the nearest neighbours (Å) after each atom.
Space group C2/m (No. 12)
Unique sites:
V (0.2044, 0.0000, 0.2883)  8 Ge 2.62-2.93, 2 V 2.83
Ge (0.0000, 0.0000, 0.5000)  6 V 2.62-2.93, 6 Ge 2.83-2.85
Ge (0.0942, 0.5000, 0.9006)  5 V 2.65-2.77, 7 Ge 2.72-2.85

## Properties
- energy (eV per atom) = -6.41
- energy of formation (eV/atom) = 0.0103
- density of states at the Fermi level (states/eV per cell) = 6.68

=====

5.
TePb2 | PBE-GGA | optimized geometry

Lattice parameters (Å, degrees): 6.4358 6.4358 11.9502 90.00 90.00 120.00
With the nearest neighbours (Å) after each atom.
Space group P6_3/mmc (No. 194)
Unique sites:
Te (0.3333, 0.6667, 0.0227)  3 Pb 3.29
Pb (0.0000, 0.0000, 0.0000)  6 Pb 3.52, 6 Te 3.73
Pb (0.1673, 0.3345, 0.2500)  6 Pb 3.21-3.52, 2 Te 3.29

## Properties
- energy (eV per atom) = -3.39
- distance to the lowest polymorph of the same formula (eV/f.u.) = 0.787
- uncorrected formation energy (kJ/mol of formula units) = 36
- density of states at the Fermi level (states/eV per cell) = 6.81

=====

6.
SnTe2As2 | PBE-GGA | optimized geometry

Lattice parameters (Å, degrees): 3.8951 3.8951 17.5046 90.00 90.00 90.00
With the nearest neighbours (Å) after each atom.
Space group I4/mmm (No. 139)
Unique sites:
Sn (0.0000, 0.0000, 0.0000)  8 Te 3.30
Te (0.0000, 0.0000, 0.3964)  4 As 3.22, 4 Sn 3.30
As (0.0000, 0.5000, 0.2500)  4 As 2.75

## Properties
- energy (eV per atom) = -3.72
- distance to the lowest polymorph of the same formula (eV/f.u.) = 0.369
- uncorrected formation energy (kJ/mol of formula units) = 93
- density of states at the Fermi level (states/eV per cell) = 6.28